# 1
## La8Te3Ir3N (PBE-GGA)

Data for La8Te3Ir3N after structural relaxation. Values from VASP.

```
&SYSTEM
  ibrav = 0, nat = 15, ntyp = 4
/
ATOMIC_SPECIES
La 138.91 La.upf
Te 127.60 Te.upf
Ir 192.22 Ir.upf
N 14.01 N.upf
CELL_PARAMETERS angstrom
7.2701 -4.1987 0.0000
7.2701 4.1987 0.0000
-4.8381 0.0000 7.7171
ATOMIC_POSITIONS crystal
La 0.2201 0.2201 0.6917
La 0.2204 0.7512 0.6919
La 0.2488 0.7796 0.3081
La 0.2632 0.2632 0.2894
La 0.7368 0.7368 0.7106
La 0.7512 0.2204 0.6919
La 0.7796 0.2488 0.3081
La 0.7799 0.7799 0.3083
Te 0.0000 0.0000 0.0000
Te 0.0000 0.5000 0.0000
Te 0.5000 0.0000 0.0000
Ir 0.0000 0.5000 0.5000
Ir 0.5000 0.0000 0.5000
Ir 0.5000 0.5000 0.5000
N 0.0000 0.0000 0.5000
```

Calculated values
**Raw total energy**: -99.6 eV for the cell shown
**Total magnetization**: 0.65 μB/f.u.
**Formation energy without anion corrections**: -15.886 eV per formula unit
**Symmetry**: C2/m (12)


# 2
## LaTe2IrN (PBE-GGA)

Data for LaTe2IrN after structural relaxation. Values from VASP.

```
&SYSTEM
  ibrav = 0, nat = 5, ntyp = 4
/
ATOMIC_SPECIES
La 138.91 La.upf
Te 127.60 Te.upf
Ir 192.22 Ir.upf
N 14.01 N.upf
CELL_PARAMETERS angstrom
6.2921 0.0000 0.0000
0.0000 6.2921 0.0000
0.0000 0.0000 5.2885
ATOMIC_POSITIONS crystal
La 0.0000 0.0000 0.0000
Te 0.0000 0.5000 0.0000
Te 0.5000 0.0000 0.0000
Ir 0.0000 0.0000 0.5000
N 0.5000 0.5000 0.5000
```

Calculated values
**Raw total energy**: -20.1 eV for the cell shown
**Total magnetization**: 5.69 μB/f.u.
**Energy above the lowest structure with this stoichiometry**: 2055 meV/atom
**Formation energy without anion corrections**: 8.258 eV per formula unit
**Symmetry**: P4/mmm (123)


# 3
## LaTe2IrN (PBE-GGA)

Data for LaTe2IrN after structural relaxation. Values from VASP.

```
&SYSTEM
  ibrav = 0, nat = 5, ntyp = 4
/
ATOMIC_SPECIES
La 138.91 La.upf
Te 127.60 Te.upf
Ir 192.22 Ir.upf
N 14.01 N.upf
CELL_PARAMETERS angstrom
6.1690 0.0000 0.0000
0.0000 6.1690 0.0000
0.0000 0.0000 3.9134
ATOMIC_POSITIONS crystal
La 0.0000 0.0000 0.0000
Te 0.0000 0.5000 0.0000
Te 0.5000 0.0000 0.0000
Ir 0.5000 0.5000 0.5000
N 0.0000 0.0000 0.5000
```

Calculated values
**Raw total energy**: -22.8 eV for the cell shown
**Total magnetization**: 0.83 μB/f.u.
**Energy above the lowest structure with this stoichiometry**: 1513 meV/atom
**Formation energy without anion corrections**: 5.550 eV per formula unit
**Symmetry**: P4/mmm (123)


# 4
## LaTeIrN2 (PBE-GGA)

Data for LaTeIrN2 after structural relaxation. Values from VASP.

```
&SYSTEM
  ibrav = 0, nat = 5, ntyp = 4
/
ATOMIC_SPECIES
La 138.91 La.upf
Te 127.60 Te.upf
Ir 192.22 Ir.upf
N 14.01 N.upf
CELL_PARAMETERS angstrom
4.1752 0.0000 0.0000
0.0000 4.1752 0.0000
0.0000 0.0000 5.3322
ATOMIC_POSITIONS crystal
La 0.0000 0.0000 0.0000
Te 0.5000 0.5000 0.0000
Ir 0.5000 0.5000 0.5000
N 0.0000 0.5000 0.5000
N 0.5000 0.0000 0.5000
```

Calculated values
**Raw total energy**: -31.6 eV for the cell shown
**Total magnetization**: 0.00 μB/f.u.
**Energy above the lowest structure with this stoichiometry**: 0 meV/atom
**Formation energy without anion corrections**: 2.023 eV per formula unit
**Symmetry**: P4/mmm (123)


# 5
## LaTe2IrN (PBE-GGA)

Data for LaTe2IrN after structural relaxation. Values from VASP.

```
&SYSTEM
  ibrav = 0, nat = 5, ntyp = 4
/
ATOMIC_SPECIES
La 138.91 La.upf
Te 127.60 Te.upf
Ir 192.22 Ir.upf
N 14.01 N.upf
CELL_PARAMETERS angstrom
5.5912 0.0000 0.0000
0.0000 5.5912 0.0000
0.0000 0.0000 3.8045
ATOMIC_POSITIONS crystal
La 0.0000 0.0000 0.0000
Te 0.0000 0.5000 0.5000
Te 0.5000 0.0000 0.5000
Ir 0.5000 0.5000 0.5000
N 0.5000 0.5000 0.0000
```

Calculated values
**Raw total energy**: -30.4 eV for the cell shown
**Total magnetization**: 0.00 μB/f.u.
**Energy above the lowest structure with this stoichiometry**: 0 meV/atom
**Formation energy without anion corrections**: -2.017 eV per formula unit
**Symmetry**: P4/mmm (123)


# 6
## LaTiIrN2 (PBE-GGA)

Data for LaTiIrN2 after structural relaxation. Values from VASP.

```
&SYSTEM
  ibrav = 0, nat = 5, ntyp = 4
/
ATOMIC_SPECIES
La 138.91 La.upf
Ti 47.87 Ti.upf
Ir 192.22 Ir.upf
N 14.01 N.upf
CELL_PARAMETERS angstrom
4.0872 0.0000 0.0000
0.0000 4.0872 0.0000
0.0000 0.0000 4.9102
ATOMIC_POSITIONS crystal
La 0.0000 0.0000 0.0000
Ti 0.5000 0.5000 0.5000
Ir 0.5000 0.5000 0.0000
N 0.0000 0.5000 0.5000
N 0.5000 0.0000 0.5000
```

Calculated values
**Raw total energy**: -39.1 eV for the cell shown
**Total magnetization**: 1.55 μB/f.u.
**Formation energy without anion corrections**: -0.805 eV per formula unit
**Symmetry**: P4/mmm (123)


# 7
## La2TlIrN (PBE-GGA)

Data for La2TlIrN after structural relaxation. Values from VASP.

```
&SYSTEM
  ibrav = 0, nat = 5, ntyp = 4
/
ATOMIC_SPECIES
La 138.91 La.upf
Tl 204.38 Tl.upf
Ir 192.22 Ir.upf
N 14.01 N.upf
CELL_PARAMETERS angstrom
5.4242 0.0000 0.0000
0.0000 5.4242 0.0000
0.0000 0.0000 3.9038
ATOMIC_POSITIONS crystal
La 0.0000 0.5000 0.0000
La 0.5000 0.0000 0.0000
Tl 0.0000 0.0000 0.5000
Ir 0.5000 0.5000 0.5000
N 0.5000 0.5000 0.0000
```

Calculated values
**Raw total energy**: -32.6 eV for the cell shown
**Total magnetization**: 0.00 μB/f.u.
**Formation energy without anion corrections**: -3.207 eV per formula unit
**Symmetry**: P4/mmm (123)


# 8
## La2ZnIrN (PBE-GGA)

Data for La2ZnIrN after structural relaxation. Values from VASP.

```
&SYSTEM
  ibrav = 0, nat = 5, ntyp = 4
/
ATOMIC_SPECIES
La 138.91 La.upf
Zn 65.41 Zn.upf
Ir 192.22 Ir.upf
N 14.01 N.upf
CELL_PARAMETERS angstrom
5.2993 0.0000 0.0000
0.0000 5.2993 0.0000
0.0000 0.0000 3.8615
ATOMIC_POSITIONS crystal
La 0.0000 0.5000 0.0000
La 0.5000 0.0000 0.0000
Zn 0.0000 0.0000 0.5000
Ir 0.5000 0.5000 0.5000
N 0.5000 0.5000 0.0000
```

Calculated values
**Raw total energy**: -31.6 eV for the cell shown
**Total magnetization**: 0.00 μB/f.u.
**Formation energy without anion corrections**: -3.292 eV per formula unit
**Symmetry**: P4/mmm (123)


# 9
## Na2LaIr (PBE-GGA)

Data for Na2LaIr after structural relaxation. Values from VASP.

```
&SYSTEM
  ibrav = 0, nat = 8, ntyp = 3
/
ATOMIC_SPECIES
Na 22.99 Na.upf
La 138.91 La.upf
Ir 192.22 Ir.upf
CELL_PARAMETERS angstrom
-2.0655 2.0655 12.1064
2.0655 -2.0655 12.1064
2.0655 2.0655 -12.1064
ATOMIC_POSITIONS crystal
Na 0.0902 0.6250 0.9652
Na 0.3750 0.3402 0.4652
Na 0.6598 0.1250 0.0348
Na 0.8750 0.9098 0.5348
La 0.2500 0.7500 0.5000
La 0.5000 0.5000 0.0000
Ir 0.0000 0.0000 0.0000
Ir 0.7500 0.2500 0.5000
```

Calculated values
**Formation enthalpy at 0 K**: 0.00 eV per atom
**Raw total energy**: -32.9 eV for the cell shown
**Total magnetization**: 0.00 μB/f.u.
**Energy above the lowest structure with this stoichiometry**: 0 meV/atom
**Symmetry**: I-42d (122)


# 10
## NaLa2Ir (PBE-GGA)

Data for NaLa2Ir after structural relaxation. Values from VASP.

```
&SYSTEM
  ibrav = 0, nat = 8, ntyp = 3
/
ATOMIC_SPECIES
Na 22.99 Na.upf
La 138.91 La.upf
Ir 192.22 Ir.upf
CELL_PARAMETERS angstrom
-4.2514 4.2514 3.5325
4.2514 -4.2514 3.5325
4.2514 4.2514 -3.5325
ATOMIC_POSITIONS crystal
Na 0.0000 0.0000 0.0000
Na 0.7500 0.2500 0.5000
La 0.1935 0.1250 0.5685
La 0.3750 0.8065 0.9315
La 0.5565 0.6250 0.4315
La 0.8750 0.4435 0.0685
Ir 0.2500 0.7500 0.5000
Ir 0.5000 0.5000 0.0000
```

Calculated values
**Formation enthalpy at 0 K**: -0.10 eV per atom
**Raw total energy**: -40.9 eV for the cell shown
**Total magnetization**: 0.00 μB/f.u.
**Symmetry**: I-42d (122)


# 11
## Na3LaIr (PBE-GGA)

Data for Na3LaIr after structural relaxation. Values from VASP.

```
&SYSTEM
  ibrav = 0, nat = 5, ntyp = 3
/
ATOMIC_SPECIES
Na 22.99 Na.upf
La 138.91 La.upf
Ir 192.22 Ir.upf
CELL_PARAMETERS angstrom
5.2800 0.0000 0.0000
0.0000 5.2800 0.0000
0.0000 0.0000 5.2800
ATOMIC_POSITIONS crystal
Na 0.0000 0.0000 0.5000
Na 0.0000 0.5000 0.0000
Na 0.5000 0.0000 0.0000
La 0.5000 0.5000 0.5000
Ir 0.0000 0.0000 0.0000
```

Calculated values
**Formation enthalpy at 0 K**: 0.77 eV per atom
**Raw total energy**: -13.9 eV for the cell shown
**Total magnetization**: 0.00 μB/f.u.
**Energy above the lowest structure with this stoichiometry**: 0 meV/atom
**Symmetry**: Pm-3m (221)


# 12
## NaLa2Ir (PBE-GGA)

Data for NaLa2Ir after structural relaxation. Values from VASP.

```
&SYSTEM
  ibrav = 0, nat = 4, ntyp = 3
/
ATOMIC_SPECIES
Na 22.99 Na.upf
La 138.91 La.upf
Ir 192.22 Ir.upf
CELL_PARAMETERS angstrom
2.1006 1.2128 10.8072
-2.1006 1.2128 10.8072
0.0000 -2.4255 10.8072
ATOMIC_POSITIONS crystal
Na 0.0000 0.0000 0.0000
La 0.1200 0.1200 0.1200
La 0.8800 0.8800 0.8800
Ir 0.5000 0.5000 0.5000
```

Calculated values
**Formation enthalpy at 0 K**: -0.38 eV per atom
**Raw total energy**: -21.5 eV for the cell shown
**Total magnetization**: 0.00 μB/f.u.
**Symmetry**: R-3m (166)


# 13
## NaLaIr3 (PBE-GGA)

Data for NaLaIr3 after structural relaxation. Values from VASP.

```
&SYSTEM
  ibrav = 0, nat = 5, ntyp = 3
/
ATOMIC_SPECIES
Na 22.99 Na.upf
La 138.91 La.upf
Ir 192.22 Ir.upf
CELL_PARAMETERS angstrom
5.0358 0.0000 0.0000
0.0000 5.0358 0.0000
0.0000 0.0000 5.0358
ATOMIC_POSITIONS crystal
Na 0.0000 0.0000 0.0000
La 0.5000 0.5000 0.5000
Ir 0.0000 0.5000 0.5000
Ir 0.5000 0.0000 0.5000
Ir 0.5000 0.5000 0.0000
```

Calculated values
**Formation enthalpy at 0 K**: 1.58 eV per atom
**Raw total energy**: -24.9 eV for the cell shown
**Total magnetization**: 0.88 μB/f.u.
**Energy above the lowest structure with this stoichiometry**: 419 meV/atom
**Symmetry**: Pm-3m (221)